No. 1
Compound: BaMo
Source: the Alexandria database
Functional: PBE
Structure: optimized geometry

Cell lengths 3.5545, 3.5545, 10.1002 Å; angles 90.00, 90.00, 90.00 degrees
Site moments in Bohr magnetons follow the coordinates.
Fractional coordinates of all 4 atoms:
Ba: 0.7500 0.7500 0.2993  0.08
Ba: 0.2500 0.2500 0.7007  0.08
Mo: 0.2500 0.2500 0.0342  0.02
Mo: 0.7500 0.7500 0.9658  0.02

Values from the calculation:
Formation energy from the elements (kJ/mol of atoms): 64.7
ΔE to the lowest computed polymorph (meV per atom): 112

---

No. 2
Compound: Ba2Mo
Source: the Alexandria database
Functional: PBE
Structure: optimized geometry

Cell lengths 5.7855, 7.7197, 10.7437 Å; angles 90.00, 90.00, 90.00 degrees
Site moments in Bohr magnetons follow the coordinates.
Fractional coordinates of all 12 atoms:
Ba: 0.2500 0.1689 0.4231  -0.03
Ba: 0.2500 0.0253 0.8020  -0.06
Ba: 0.7500 0.8311 0.5769  -0.03
Ba: 0.2500 0.6689 0.0769  -0.03
Ba: 0.2500 0.5253 0.6980  -0.06
Ba: 0.7500 0.3311 0.9231  -0.03
Ba: 0.7500 0.9747 0.1980  -0.06
Ba: 0.7500 0.4747 0.3020  -0.06
Mo: 0.7500 0.3067 0.5936  2.86
Mo: 0.7500 0.8067 0.9064  2.86
Mo: 0.2500 0.1933 0.0936  2.86
Mo: 0.2500 0.6933 0.4064  2.86

Values from the calculation:
Formation energy from the elements (kJ/mol of atoms): 103.6
ΔE to the lowest computed polymorph (meV per atom): 522

---

No. 3
Compound: BaMo3
Source: the Alexandria database
Functional: PBE
Structure: optimized geometry

Cell lengths 5.4105, 5.4105, 5.4105 Å; angles 90.00, 90.00, 90.00 degrees
Fractional coordinates of all 8 atoms:
Mo: 0.0000 0.2500 0.5000
Mo: 0.5000 0.0000 0.2500
Mo: 0.0000 0.7500 0.5000
Mo: 0.2500 0.5000 0.0000
Mo: 0.5000 0.0000 0.7500
Mo: 0.7500 0.5000 0.0000
Ba: 0.0000 0.0000 0.0000
Ba: 0.5000 0.5000 0.5000

Values from the calculation:
Formation energy from the elements (kJ/mol of atoms): 152.5
ΔE to the lowest computed polymorph (meV per atom): 816

---

No. 4
Compound: BaMo
Source: the Alexandria database
Functional: PBE
Structure: optimized geometry

Cell lengths 4.2341, 4.2341, 19.1606 Å; angles 90.00, 90.00, 120.00 degrees
Fractional coordinates of all 8 atoms:
Ba: 0.3333 0.6667 0.3870
Ba: 0.6667 0.3333 0.6130
Ba: 0.3333 0.6667 0.1130
Ba: 0.6667 0.3333 0.8870
Mo: 0.0000 0.0000 0.2500
Mo: 0.3333 0.6667 0.7500
Mo: 0.6667 0.3333 0.2500
Mo: 0.0000 0.0000 0.7500

Values from the calculation:
Formation energy from the elements (kJ/mol of atoms): 54.0
ΔE to the lowest computed polymorph (meV per atom): 1

---

| no. | VASP energy (eV/atom) |
| --- | --- |
| 1 | -5.706 |
| 2 | -3.819 |
| 3 | -7.024 |
| 4 | -5.817 |